[1]
Compound: PaNbIn
Source: OQMD via LeMat-Bulk
Functional: PBE
Structure: relaxed

Unit cell a=4.886 b=4.886 c=4.886 alpha=60.00 beta=60.00 gamma=60.00
Sites, in units of the cell vectors:
Pa: 0.000 0.000 0.000
Nb: 0.250 0.250 0.250
In: 0.750 0.750 0.750

## Properties
Space group: F-43m, No. 216
Energy relative to the lowest polymorph listed for this composition: 598 meV/atom

=====

[2]
Compound: PaNbIn
Source: OQMD via LeMat-Bulk
Functional: PBE
Structure: relaxed

Unit cell a=4.758 b=4.758 c=4.758 alpha=60.00 beta=60.00 gamma=60.00
Sites, in units of the cell vectors:
Pa: 0.000 0.000 0.000
Nb: 0.750 0.750 0.750
In: 0.500 0.500 0.500

## Properties
Space group: F-43m, No. 216
Energy relative to the lowest polymorph listed for this composition: 0 meV/atom

=====

[3]
Compound: Nb3InPb5
Source: OQMD via LeMat-Bulk
Functional: PBE
Structure: relaxed

Unit cell a=5.732 b=5.732 c=8.799 alpha=90.00 beta=90.00 gamma=120.00
Sites, in units of the cell vectors:
Nb: 0.000 0.500 0.000
Nb: 0.500 0.000 0.000
Nb: 0.500 0.500 0.000
In: 0.000 0.000 0.500
Pb: 0.000 0.000 0.000
Pb: 0.333 0.667 0.298
Pb: 0.333 0.667 0.702
Pb: 0.667 0.333 0.298
Pb: 0.667 0.333 0.702

## Properties
Raw total energy: -49.1 eV for the cell shown
Space group: P6/mmm, No. 191

=====

[4]
Compound: NbInPb
Source: OQMD via LeMat-Bulk
Functional: PBE
Structure: relaxed

Unit cell a=4.884 b=4.884 c=4.884 alpha=60.00 beta=60.00 gamma=60.00
Sites, in units of the cell vectors:
Nb: 0.000 0.000 0.000
In: 0.250 0.250 0.250
Pb: 0.500 0.500 0.500

## Properties
Space group: F-43m, No. 216
Energy relative to the lowest polymorph listed for this composition: 0 meV/atom

=====

[5]
Compound: TaNbIn2Pd2
Source: OQMD via LeMat-Bulk
Functional: PBE
Structure: relaxed

Unit cell a=8.821 b=4.411 c=13.231 alpha=90.00 beta=109.47 gamma=90.00
Sites, in units of the cell vectors:
Ta: 0.000 0.000 0.000
Ta: 0.125 0.500 0.750
Ta: 0.250 0.000 0.500
Ta: 0.500 0.000 0.000
Nb: 0.375 0.500 0.250
Nb: 0.625 0.500 0.750
Nb: 0.750 0.000 0.500
Nb: 0.875 0.500 0.250
In: 0.125 0.000 0.249
In: 0.250 0.500 0.000
In: 0.375 0.000 0.750
In: 0.501 0.500 0.500
In: 0.625 0.000 0.250
In: 0.750 0.500 0.000
In: 0.875 0.000 0.750
In: 0.999 0.500 0.500
Pd: 0.062 0.500 0.124
Pd: 0.188 0.000 0.875
Pd: 0.311 0.500 0.624
Pd: 0.437 0.000 0.375
Pd: 0.562 0.500 0.124
Pd: 0.688 0.000 0.876
Pd: 0.814 0.500 0.626
Pd: 0.939 0.000 0.375

## Properties
Raw total energy: -153.3 eV for the cell shown
Space group: Pm, No. 6

=====

[6]
Compound: NbInPt2
Source: OQMD via LeMat-Bulk
Functional: PBE
Structure: relaxed

Unit cell a=4.601 b=4.601 c=4.601 alpha=60.00 beta=60.00 gamma=60.00
Sites, in units of the cell vectors:
Nb: 0.000 0.000 0.000
In: 0.750 0.750 0.750
Pt: 0.250 0.250 0.250
Pt: 0.500 0.500 0.500

## Properties
Raw total energy: -26.1 eV for the cell shown
Space group: F-43m, No. 216

=====

[7]
Compound: Nb2InPt
Source: OQMD via LeMat-Bulk
Functional: PBE
Structure: relaxed

Unit cell a=4.682 b=4.682 c=4.682 alpha=60.00 beta=60.00 gamma=60.00
Sites, in units of the cell vectors:
Nb: 0.000 0.000 0.000
Nb: 0.250 0.250 0.250
In: 0.500 0.500 0.500
Pt: 0.750 0.750 0.750

## Properties
Raw total energy: -29.0 eV for the cell shown
Space group: F-43m, No. 216

=====

[8]
Compound: RbNbIn
Source: OQMD via LeMat-Bulk
Functional: PBE
Structure: relaxed

Unit cell a=5.605 b=5.605 c=5.605 alpha=60.00 beta=60.00 gamma=60.00
Sites, in units of the cell vectors:
Rb: 0.000 0.000 0.000
Nb: 0.250 0.250 0.250
In: 0.750 0.750 0.750

## Properties
Space group: F-43m, No. 216
Energy relative to the lowest polymorph listed for this composition: 481 meV/atom

=====

[9]
Compound: RbNbIn
Source: OQMD via LeMat-Bulk
Functional: PBE
Structure: relaxed

Unit cell a=5.378 b=5.378 c=5.378 alpha=60.00 beta=60.00 gamma=60.00
Sites, in units of the cell vectors:
Rb: 0.000 0.000 0.000
Nb: 0.500 0.500 0.500
In: 0.750 0.750 0.750

## Properties
Space group: F-43m, No. 216
Energy relative to the lowest polymorph listed for this composition: 0 meV/atom

=====

[10]
Compound: NbInRe2
Source: OQMD via LeMat-Bulk
Functional: PBE
Structure: relaxed

Unit cell a=4.570 b=4.570 c=4.570 alpha=60.00 beta=60.00 gamma=60.00
Sites, in units of the cell vectors:
Nb: 0.000 0.000 0.000
In: 0.750 0.750 0.750
Re: 0.250 0.250 0.250
Re: 0.500 0.500 0.500

## Properties
Raw total energy: -36.0 eV for the cell shown
Space group: F-43m, No. 216

=====

[11]
Compound: Nb3InS4
Source: OQMD via LeMat-Bulk
Functional: PBE
Structure: relaxed

Unit cell a=8.884 b=8.884 c=4.487 alpha=90.00 beta=90.00 gamma=120.00
Sites, in units of the cell vectors:
Nb: 0.136 0.647 0.250
Nb: 0.353 0.489 0.250
Nb: 0.489 0.136 0.750
Nb: 0.511 0.864 0.250
Nb: 0.647 0.511 0.750
Nb: 0.864 0.353 0.750
In: 0.000 0.000 0.000
In: 0.000 0.000 0.500
S: 0.016 0.330 0.250
S: 0.314 0.984 0.250
S: 0.330 0.314 0.750
S: 0.333 0.667 0.750
S: 0.667 0.333 0.250
S: 0.670 0.686 0.250
S: 0.686 0.016 0.750
S: 0.984 0.670 0.750

## Properties
Raw total energy: -105.0 eV for the cell shown
Space group: P6_3/m, No. 176

=====

[12]
Compound: NbInS2
Source: OQMD via LeMat-Bulk
Functional: PBE
Structure: relaxed

Unit cell a=3.334 b=3.334 c=8.828 alpha=90.00 beta=90.00 gamma=120.00
Sites, in units of the cell vectors:
Nb: 0.000 0.000 0.000
In: 0.667 0.333 0.500
S: 0.667 0.333 0.178
S: 0.667 0.333 0.822

## Properties
Raw total energy: -24.6 eV for the cell shown
Space group: P-6m2, No. 187

=====

How do the records compare in density? In the order shown, they have 8.8, 9.6, 9.5, 8.4, 9.8, 14.4, 11.3, 3.9, 4.4, 14.3, 5.7, 5.3 g cm⁻³.